(1)
DFT (GGA-PBE) results for an optimized crystal structure of Cs2ZrTe4.

## Properties
Mass density in kg/m3: 4528
M_tot in μB/atom: 0.000
Formation energy from raw total energies in kJ per mole of atoms: -73.0

abc: 5.771 5.771 19.106
angles: 90.00 90.00 90.00
Space group I4/mmm (No. 139)
Asymmetric unit:
Cs  0.000  0.000  0.146 (multiplicity 4)
Zr  0.000  0.000  0.500 (multiplicity 2)
Te  0.000  0.000  0.352 (multiplicity 4)
Te  0.000  0.500  0.000 (multiplicity 4)



(2)
DFT (GGA-PBE) results for an optimized crystal structure of K2HgP2.

## Properties
Calculated total energy in eV/atom: -2.810
Mass density in kg/m3: 3191
M_tot in μB/atom: 0.398

abc: 6.140 6.140 9.404
angles: 90.00 90.00 90.00
Space group I4/mmm (No. 139)
Asymmetric unit:
K  0.000  0.500  0.250 (multiplicity 4)
Hg  0.000  0.000  0.000 (multiplicity 2)
P  0.000  0.000  0.390 (multiplicity 4)



Please write out number 2 again, unchanged.
DFT (GGA-PBE) results for an optimized crystal structure of K2HgP2.

## Properties
Calculated total energy in eV/atom: -2.810
Mass density in kg/m3: 3191
M_tot in μB/atom: 0.398

abc: 6.140 6.140 9.404
angles: 90.00 90.00 90.00
Space group I4/mmm (No. 139)
Asymmetric unit:
K  0.000  0.500  0.250 (multiplicity 4)
Hg  0.000  0.000  0.000 (multiplicity 2)
P  0.000  0.000  0.390 (multiplicity 4)



> What is the M_tot in the first record?

0.000 μB/atom



> What is the M_tot in the first record?

0.000 μB/atom



Repeat the second record exactly.
DFT (GGA-PBE) results for an optimized crystal structure of K2HgP2.

## Properties
Calculated total energy in eV/atom: -2.810
Mass density in kg/m3: 3191
M_tot in μB/atom: 0.398

abc: 6.140 6.140 9.404
angles: 90.00 90.00 90.00
Space group I4/mmm (No. 139)
Asymmetric unit:
K  0.000  0.500  0.250 (multiplicity 4)
Hg  0.000  0.000  0.000 (multiplicity 2)
P  0.000  0.000  0.390 (multiplicity 4)